YEr2Sc | GGA-PBE | relaxed

abc: 11.2724 11.2724 11.2724
angles: 17.88 17.88 17.88
Positions (direct):
Y1 0.0000 0.0000 0.0000
Er1 0.5798 0.5798 0.5798
Er2 0.7525 0.7525 0.7525
Sc1 0.1658 0.1658 0.1658

Results
Space-group type: R3m
Final energy (eV per atom): -5.444
Crystal system: trigonal
Energy above the lowest structure with this stoichiometry (meV/atom): 19